[1]
Density functional theory data (GGA-PBE) for crystalline LaCuRu4 at its relaxed geometry.

a b c (Å): 5.3002 5.3002 5.3002
angles (deg): 60.00 60.00 60.00
Atoms (fractional coordinates):
1 La 0.0000 0.0000 0.0000
2 Cu 0.2500 0.2500 0.2500
3 Ru 0.1279 0.6240 0.6240
4 Ru 0.6240 0.1279 0.6240
5 Ru 0.6240 0.6240 0.1279
6 Ru 0.6240 0.6240 0.6240

The theoretical density is 9.57 Mg/m³. Its space group is F-43m (216). The value obtained for the magnetization is 2.559 μB per formula unit. The calculation puts the formation energy at 0.337 eV per atom. Its calculated total energy is -7.351 eV/atom.


[2]
Density functional theory data (GGA-PBE) for crystalline CuSiIO2 at its relaxed geometry.

a b c (Å): 3.9455 3.9455 5.1980
angles (deg): 90.00 90.00 90.00
Atoms (fractional coordinates):
1 Cu 0.0000 0.0000 0.0000
2 Si 0.5000 0.5000 0.5000
3 I 0.0000 0.0000 0.5000
4 O 0.0000 0.5000 0.0000
5 O 0.5000 0.0000 0.0000

As for the raw formation energy: 0.45 eV/atom. The theoretical density is 5.14 Mg/m³. Its space group is P4/mmm (123). The energy above the most stable polymorph in this dataset comes out at 1.243 eV/atom. The value obtained for the magnetization is 0.000 μB per formula unit. Its calculated total energy is -3.748 eV/atom.


[3]
Density functional theory data (GGA-PBE) for crystalline ZrRePdW2 at its relaxed geometry.

a b c (Å): 4.7784 4.7784 4.7000
angles (deg): 90.00 90.00 90.00
Atoms (fractional coordinates):
1 Zr 0.0000 0.0000 0.0000
2 Re 0.0000 0.0000 0.5000
3 Pd 0.5000 0.5000 0.5000
4 W 0.0000 0.5000 0.0000
5 W 0.5000 0.0000 0.0000

The theoretical density is 11.63 Mg/m³. Its space group is P4/mmm (123). The value obtained for the magnetization is 0.000 μB per formula unit. The calculation puts the formation energy at 2.539 eV per atom. Its calculated total energy is -7.880 eV/atom.


[4]
Density functional theory data (GGA-PBE) for crystalline ZnPdN2O at its relaxed geometry.

a b c (Å): 3.9124 3.9124 4.1705
angles (deg): 90.00 90.00 90.00
Atoms (fractional coordinates):
1 Zn 0.0000 0.0000 0.0000
2 Pd 0.5000 0.5000 0.5000
3 N 0.0000 0.5000 0.5000
4 N 0.5000 0.0000 0.5000
5 O 0.5000 0.5000 0.0000

As for the raw formation energy: 1.32 eV/atom. The theoretical density is 5.61 Mg/m³. Its space group is P4/mmm (123). The value obtained for the magnetization is 2.545 μB per formula unit. Its calculated total energy is -4.294 eV/atom.